1.
The following is a PBE-GGA calculation of a geometry-optimized KNaPPt structure, from OQMD.

Calculated density   5.0 g cm⁻³
V   95.0 Å³/f.u.
Total DFT energy (no corrections)   -3.92 eV/atom

CIF file:
```
data_KNaPPt
_chemical_formula_sum 'K2 Na2 P2 Pt2'
_symmetry_space_group_name_H-M 'P 1'
_symmetry_Int_Tables_number 1
_symmetry_space_group_name_Hall 'P 1'
_cell_length_a 5.6748
_cell_length_b 5.8773
_cell_length_c 5.8773
_cell_angle_alpha 75.65
_cell_angle_beta 90.00
_cell_angle_gamma 90.00
loop_
_atom_site_label
_atom_site_type_symbol
_atom_site_fract_x
_atom_site_fract_y
_atom_site_fract_z
K1 K 0.7500 0.8199 0.5258
K2 K 0.2500 0.5258 0.8199
Na1 Na 0.7500 0.4751 0.1728
Na2 Na 0.2500 0.1728 0.4751
P1 P 0.2500 0.7451 0.2577
P2 P 0.7500 0.2577 0.7451
Pt1 Pt 0.0000 0.0018 0.0018
Pt2 Pt 0.5000 0.0018 0.0018
```

2.
The following is a PBE-GGA calculation of a geometry-optimized KNaPPt structure, from OQMD.

Calculated density   5.0 g cm⁻³
V   95.1 Å³/f.u.
Total DFT energy (no corrections)   -3.92 eV/atom

CIF file:
```
data_KNaPPt
_chemical_formula_sum 'K2 Na2 P2 Pt2'
_symmetry_space_group_name_H-M 'P 1'
_symmetry_Int_Tables_number 1
_symmetry_space_group_name_Hall 'P 1'
_cell_length_a 5.6848
_cell_length_b 5.8823
_cell_length_c 5.8823
_cell_angle_alpha 104.72
_cell_angle_beta 90.00
_cell_angle_gamma 90.00
loop_
_atom_site_label
_atom_site_type_symbol
_atom_site_fract_x
_atom_site_fract_y
_atom_site_fract_z
K1 K 0.0000 0.5290 0.1803
K2 K 0.0000 0.1803 0.5290
Na1 Na 0.5000 0.8294 0.4834
Na2 Na 0.5000 0.4834 0.8294
P1 P 0.5000 0.2545 0.2545
P2 P 0.0000 0.7413 0.7413
Pt1 Pt 0.2560 0.9911 0.9911
Pt2 Pt 0.7440 0.9911 0.9911
```

3.
The following is a PBE-GGA calculation of a geometry-optimized KNaPPt structure, from OQMD.

Calculated density   5.0 g cm⁻³
V   95.6 Å³/f.u.
Total DFT energy (no corrections)   -3.93 eV/atom

CIF file:
```
data_KNaPPt
_chemical_formula_sum 'K2 Na2 P2 Pt2'
_symmetry_space_group_name_H-M 'P 1'
_symmetry_Int_Tables_number 1
_symmetry_space_group_name_Hall 'P 1'
_cell_length_a 5.8820
_cell_length_b 5.6213
_cell_length_c 5.9553
_cell_angle_alpha 90.00
_cell_angle_beta 103.71
_cell_angle_gamma 90.00
loop_
_atom_site_label
_atom_site_type_symbol
_atom_site_fract_x
_atom_site_fract_y
_atom_site_fract_z
K1 K 0.8210 0.2500 0.4702
K2 K 0.1790 0.7500 0.5298
Na1 Na 0.4993 0.7500 0.1505
Na2 Na 0.5007 0.2500 0.8495
P1 P 0.2700 0.2500 0.2361
P2 P 0.7300 0.7500 0.7639
Pt1 Pt 0.0000 0.0000 0.0000
Pt2 Pt 0.0000 0.5000 0.0000
```

4.
The following is a PBE-GGA calculation of a geometry-optimized K2Na2ZnP2 structure, from OQMD.

Calculated density   2.0 g cm⁻³
V   206.4 Å³/f.u.
Total DFT energy (no corrections)   -2.79 eV/atom

CIF file:
```
data_K2Na2ZnP2
_chemical_formula_sum 'K2 Na2 Zn1 P2'
_symmetry_space_group_name_H-M 'P 1'
_symmetry_Int_Tables_number 1
_symmetry_space_group_name_Hall 'P 1'
_cell_length_a 9.3527
_cell_length_b 9.3527
_cell_length_c 9.3527
_cell_angle_alpha 32.19
_cell_angle_beta 32.19
_cell_angle_gamma 32.19
loop_
_atom_site_label
_atom_site_type_symbol
_atom_site_fract_x
_atom_site_fract_y
_atom_site_fract_z
K1 K 0.2068 0.2068 0.2068
K2 K 0.7932 0.7932 0.7932
Na1 Na 0.3887 0.3887 0.3887
Na2 Na 0.6113 0.6113 0.6113
P1 P 0.0831 0.0831 0.0831
P2 P 0.9169 0.9169 0.9169
Zn1 Zn 0.0000 0.0000 0.0000
```

5.
The following is a PBE-GGA calculation of a geometry-optimized KNaZn2P2 structure, from OQMD.

Calculated density   3.1 g cm⁻³
V   134.5 Å³/f.u.
Total DFT energy (no corrections)   -3.07 eV/atom

CIF file:
```
data_KNaZn2P2
_chemical_formula_sum 'K1 Na1 Zn2 P2'
_symmetry_space_group_name_H-M 'P 1'
_symmetry_Int_Tables_number 1
_symmetry_space_group_name_Hall 'P 1'
_cell_length_a 4.0623
_cell_length_b 4.0623
_cell_length_c 9.4131
_cell_angle_alpha 90.00
_cell_angle_beta 90.00
_cell_angle_gamma 120.00
loop_
_atom_site_label
_atom_site_type_symbol
_atom_site_fract_x
_atom_site_fract_y
_atom_site_fract_z
K1 K 0.0000 0.0000 0.0000
Na1 Na 0.0000 0.0000 0.5000
P1 P 0.3333 0.6667 0.2704
P2 P 0.6667 0.3333 0.7296
Zn1 Zn 0.6667 0.3333 0.2770
Zn2 Zn 0.3333 0.6667 0.7230
```

6.
The following is a PBE-GGA calculation of a geometry-optimized K2Na2ZnP2 structure, from OQMD.

Calculated density   2.0 g cm⁻³
V   204.0 Å³/f.u.
Total DFT energy (no corrections)   -2.77 eV/atom

CIF file:
```
data_K2Na2ZnP2
_chemical_formula_sum 'K2 Na2 Zn1 P2'
_symmetry_space_group_name_H-M 'P 1'
_symmetry_Int_Tables_number 1
_symmetry_space_group_name_Hall 'P 1'
_cell_length_a 8.6617
_cell_length_b 8.6617
_cell_length_c 8.6617
_cell_angle_alpha 36.31
_cell_angle_beta 36.31
_cell_angle_gamma 36.31
loop_
_atom_site_label
_atom_site_type_symbol
_atom_site_fract_x
_atom_site_fract_y
_atom_site_fract_z
K1 K 0.3921 0.3921 0.3921
K2 K 0.6079 0.6079 0.6079
Na1 Na 0.2081 0.2081 0.2081
Na2 Na 0.7919 0.7919 0.7919
P1 P 0.0914 0.0914 0.0914
P2 P 0.9086 0.9086 0.9086
Zn1 Zn 0.0000 0.0000 0.0000
```

7.
The following is a PBE-GGA calculation of a geometry-optimized KNaPaSe3 structure, from OQMD.

Calculated density   4.8 g cm⁻³
V   184.8 Å³/f.u.
Total DFT energy (no corrections)   -4.97 eV/atom

CIF file:
```
data_KNaPaSe3
_chemical_formula_sum 'K2 Na2 Pa2 Se6'
_symmetry_space_group_name_H-M 'P 1'
_symmetry_Int_Tables_number 1
_symmetry_space_group_name_Hall 'P 1'
_cell_length_a 7.7556
_cell_length_b 7.7556
_cell_length_c 11.3623
_cell_angle_alpha 90.00
_cell_angle_beta 90.00
_cell_angle_gamma 147.25
loop_
_atom_site_label
_atom_site_type_symbol
_atom_site_fract_x
_atom_site_fract_y
_atom_site_fract_z
K1 K 0.2229 0.7771 0.2500
K2 K 0.7771 0.2229 0.7500
Na1 Na 0.9415 0.0585 0.2500
Na2 Na 0.0585 0.9415 0.7500
Pa1 Pa 0.5000 0.5000 0.0000
Pa2 Pa 0.5000 0.5000 0.5000
Se1 Se 0.8740 0.1260 0.0265
Se2 Se 0.5530 0.4470 0.2500
Se3 Se 0.8740 0.1260 0.4735
Se4 Se 0.1260 0.8740 0.5265
Se5 Se 0.4470 0.5530 0.7500
Se6 Se 0.1260 0.8740 0.9735
```

8.
The following is a PBE-GGA calculation of a geometry-optimized K4Na2PdPt structure, from OQMD.

Calculated density   3.2 g cm⁻³
V   264.9 Å³/f.u.
Total DFT energy (no corrections)   -2.23 eV/atom

CIF file:
```
data_K4Na2PdPt
_chemical_formula_sum 'K4 Na2 Pd1 Pt1'
_symmetry_space_group_name_H-M 'P 1'
_symmetry_Int_Tables_number 1
_symmetry_space_group_name_Hall 'P 1'
_cell_length_a 4.8388
_cell_length_b 10.0613
_cell_length_c 5.9536
_cell_angle_alpha 90.00
_cell_angle_beta 113.95
_cell_angle_gamma 90.00
loop_
_atom_site_label
_atom_site_type_symbol
_atom_site_fract_x
_atom_site_fract_y
_atom_site_fract_z
K1 K 0.8517 0.1803 0.2037
K2 K 0.8517 0.8197 0.2037
K3 K 0.1475 0.3283 0.7950
K4 K 0.1475 0.6717 0.7950
Na1 Na 0.4429 0.5000 0.3869
Na2 Na 0.5558 0.0000 0.6102
Pd1 Pd 0.2101 0.0000 0.9191
Pt1 Pt 0.7928 0.5000 0.0865
```

9.
The following is a PBE-GGA calculation of a geometry-optimized K4NaSrPd2 structure, from OQMD.

Calculated density   2.7 g cm⁻³
V   294.5 Å³/f.u.
Total DFT energy (no corrections)   -2.20 eV/atom

CIF file:
```
data_K4NaSrPd2
_chemical_formula_sum 'K4 Na1 Sr1 Pd2'
_symmetry_space_group_name_H-M 'P 1'
_symmetry_Int_Tables_number 1
_symmetry_space_group_name_Hall 'P 1'
_cell_length_a 10.5517
_cell_length_b 6.2265
_cell_length_c 6.2265
_cell_angle_alpha 46.05
_cell_angle_beta 90.00
_cell_angle_gamma 90.00
loop_
_atom_site_label
_atom_site_type_symbol
_atom_site_fract_x
_atom_site_fract_y
_atom_site_fract_z
K1 K 0.3057 0.1520 0.1520
K2 K 0.6943 0.1520 0.1520
K3 K 0.1696 0.8508 0.8508
K4 K 0.8304 0.8508 0.8508
Na1 Na 0.0000 0.5590 0.5590
Pd1 Pd 0.0000 0.2112 0.2112
Pd2 Pd 0.5000 0.7812 0.7812
Sr1 Sr 0.5000 0.4430 0.4430
```

10.
The following is a PBE-GGA calculation of a geometry-optimized KNaTe3Pd structure, from OQMD.

Calculated density   4.9 g cm⁻³
V   187.9 Å³/f.u.
Total DFT energy (no corrections)   -3.39 eV/atom

CIF file:
```
data_KNaTe3Pd
_chemical_formula_sum 'K2 Na2 Te6 Pd2'
_symmetry_space_group_name_H-M 'P 1'
_symmetry_Int_Tables_number 1
_symmetry_space_group_name_Hall 'P 1'
_cell_length_a 7.4646
_cell_length_b 7.4646
_cell_length_c 8.0816
_cell_angle_alpha 98.16
_cell_angle_beta 98.16
_cell_angle_gamma 119.55
loop_
_atom_site_label
_atom_site_type_symbol
_atom_site_fract_x
_atom_site_fract_y
_atom_site_fract_z
K1 K 0.8472 0.1528 0.0000
K2 K 0.1528 0.8472 0.0000
Na1 Na 0.5000 0.5000 0.0000
Na2 Na 0.0000 0.0000 0.5000
Pd1 Pd 0.6671 0.3329 0.5000
Pd2 Pd 0.3329 0.6671 0.5000
Te1 Te 0.3294 0.3294 0.3061
Te2 Te 0.9410 0.5661 0.3188
Te3 Te 0.5661 0.9410 0.3188
Te4 Te 0.4339 0.0590 0.6812
Te5 Te 0.0590 0.4339 0.6812
Te6 Te 0.6706 0.6706 0.6939
```